Entry 1:
This record from Alexandria via LeMat-Bulk describes a relaxed Tb12Pt6Pb crystal. The functional is PBE-GGA.

Calculated values
**Density**: 10.73 Mg/m³
**Density of states at the Fermi level**: 0.91 states/eV/atom
**Space group**: No. 204
**Formation energy**: -0.859 eV per atom
**Uncorrected energy**: -5.89 eV per atom

extended XYZ file:
```
19
Lattice="-5.028 5.028 5.028 5.028 -5.028 5.028 5.028 5.028 -5.028" Properties=species:S:1:pos:R:3 pbc="T T T"
Tb 5.028 3.206 -1.996
Tb 3.032 0.000 1.822
Tb 7.024 0.000 1.822
Tb 1.822 3.032 0.000
Tb 3.206 -1.996 5.028
Tb 0.000 1.822 3.032
Tb 5.028 3.206 1.996
Tb 1.822 7.024 0.000
Tb 3.206 1.996 5.028
Tb -1.996 5.028 3.206
Tb 1.996 5.028 3.206
Tb 0.000 1.822 7.024
Pt 5.028 1.387 0.000
Pt 5.028 0.000 3.642
Pt 3.642 5.028 0.000
Pt 1.387 0.000 5.028
Pt 0.000 5.028 1.387
Pt 0.000 3.642 5.028
Pb 0.000 0.000 0.000
```

Entry 2:
This record from Alexandria via LeMat-Bulk describes a relaxed TbPt2Pb crystal. The functional is PBE-GGA.

Calculated values
**Density**: 14.91 Mg/m³
**Density of states at the Fermi level**: 0.62 states/eV/atom
**Space group**: No. 123
**Formation energy**: -0.683 eV per atom
**Uncorrected energy**: -5.79 eV per atom

extended XYZ file:
```
4
Lattice="4.705 0.000 0.000 0.000 4.705 0.000 0.000 0.000 3.805" Properties=species:S:1:pos:R:3 pbc="T T T"
Tb 0.000 0.000 0.000
Pt 0.000 2.353 1.902
Pt 2.353 0.000 1.902
Pb 2.353 2.353 0.000
```

Entry 3:
This record from Alexandria via LeMat-Bulk describes a relaxed Tb5Pt2Pb crystal. The functional is PBE-GGA.

Calculated values
**Density**: 10.90 Mg/m³
**Density of states at the Fermi level**: 1.05 states/eV/atom
**Space group**: No. 140
**Formation energy**: -0.851 eV per atom
**Uncorrected energy**: -5.72 eV per atom

extended XYZ file:
```
16
Lattice="-3.951 3.951 6.791 3.951 -3.951 6.791 3.951 3.951 -6.791" Properties=species:S:1:pos:R:3 pbc="T T T"
Tb 0.000 0.000 0.000
Tb 5.201 1.250 -1.857
Tb 1.250 2.701 -1.857
Tb 5.201 1.250 1.857
Tb 1.250 2.701 1.857
Tb 0.000 0.000 6.791
Tb 2.701 1.250 4.934
Tb -1.250 2.701 4.934
Tb 2.701 1.250 8.647
Tb -1.250 2.701 8.647
Pt 2.872 1.079 0.000
Pt 2.872 -1.079 6.791
Pt 1.079 5.030 0.000
Pt 1.079 2.872 6.791
Pb 0.000 0.000 3.395
Pb 0.000 0.000 10.186
```

Entry 4:
This record from Alexandria via LeMat-Bulk describes a relaxed TbTmPtPb crystal. The functional is PBE-GGA.

Calculated values
**Density**: 12.41 Mg/m³
**Density of states at the Fermi level**: 0.34 states/eV/atom
**Space group**: No. 216
**Formation energy**: -0.739 eV per atom
**Uncorrected energy**: -5.45 eV per atom

extended XYZ file:
```
4
Lattice="0.000 3.655 3.655 3.655 0.000 3.655 3.655 3.655 0.000" Properties=species:S:1:pos:R:3 pbc="T T T"
Tb 0.000 0.000 0.000
Tm 3.655 3.655 3.655
Pt 1.828 1.828 1.828
Pb 5.483 5.483 5.483
```

Entry 5:
This record from Alexandria via LeMat-Bulk describes a relaxed TbZnPtPb crystal. The functional is PBE-GGA.

Calculated values
**Density**: 12.25 Mg/m³
**Density of states at the Fermi level**: 0.56 states/eV/atom
**Space group**: No. 216
**Formation energy**: -0.532 eV per atom
**Uncorrected energy**: -4.45 eV per atom

extended XYZ file:
```
4
Lattice="0.000 3.489 3.489 3.489 0.000 3.489 3.489 3.489 0.000" Properties=species:S:1:pos:R:3 pbc="T T T"
Tb 0.000 0.000 0.000
Zn 1.744 1.744 1.744
Pt 5.233 5.233 5.233
Pb 3.489 3.489 3.489
```

Entry 6:
This record from Alexandria via LeMat-Bulk describes a relaxed TcPt2Pb crystal. The functional is PBE-GGA.

Calculated values
**Density**: 16.70 Mg/m³
**Density of states at the Fermi level**: 1.24 states/eV/atom
**Space group**: No. 139
**Formation energy**: 0.290 eV per atom
**Uncorrected energy**: -6.25 eV per atom

extended XYZ file:
```
4
Lattice="-2.041 2.041 4.149 2.041 -2.041 4.149 2.041 2.041 -4.149" Properties=species:S:1:pos:R:3 pbc="T T T"
Tc 0.000 0.000 0.000
Pt 2.041 0.000 2.075
Pt 0.000 2.041 2.075
Pb 0.000 0.000 4.149
```

Entry 7:
This record from Alexandria via LeMat-Bulk describes a relaxed TcPt2Pb crystal. The functional is PBE-GGA.

Calculated values
**Density**: 16.35 Mg/m³
**Density of states at the Fermi level**: 0.83 states/eV/atom
**Space group**: No. 71
**Formation energy**: 0.325 eV per atom
**Uncorrected energy**: -6.21 eV per atom

extended XYZ file:
```
4
Lattice="-1.540 2.359 4.861 1.540 -2.359 4.861 1.540 2.359 -4.861" Properties=species:S:1:pos:R:3 pbc="T T T"
Tc 0.000 0.000 0.000
Pt 1.540 0.000 2.322
Pt 0.000 2.359 2.539
Pb 0.000 0.000 4.861
```

Entry 8:
This record from Alexandria via LeMat-Bulk describes a relaxed Tc2PtPb crystal. The functional is PBE-GGA.

Calculated values
**Density**: 12.70 Mg/m³
**Density of states at the Fermi level**: 0.47 states/eV/atom
**Space group**: No. 10
**Formation energy**: 0.434 eV per atom
**Uncorrected energy**: -7.19 eV per atom

extended XYZ file:
```
4
Lattice="4.009 0.000 0.000 0.000 4.867 0.000 -0.282 0.000 4.010" Properties=species:S:1:pos:R:3 pbc="T T T"
Tc 0.621 0.000 1.212
Tc 3.107 0.000 2.797
Pt 0.000 2.434 0.000
Pb 1.864 2.434 2.005
```

Question: Which of these has the highest uncorrected energy?
Answer: TbZnPtPb

Question: Which value of uncorrected energy does entry 2 give?
Answer: -5.79 eV per atom